No. 1
First-principles (GGA-PBE) data for a relaxed Ta4VRe crystal, as listed in Alexandria via LeMat-Bulk.

Geometry as extended XYZ:
```
6
Lattice="4.381 0.000 -0.002 0.000 4.381 -0.002 0.003 0.004 6.127" Properties=species:S:1:pos:R:3 pbc="T T T"
Ta 0.006 2.179 1.552
Ta 2.198 4.373 4.548
Ta 2.196 4.370 1.550
Ta 0.008 2.182 4.550
Re 2.199 2.183 6.114
V 0.007 4.371 3.050
```

Calculated values
**Uncorrected energy**: -11.005 eV/atom
**Offset from the most stable computed form**: 0.652 eV/atom
**Size of the total moment**: 0.00 μB per cell

=====

No. 2
First-principles (GGA-PBE) data for a relaxed Hf4ZnRe2 crystal, as listed in Alexandria via LeMat-Bulk.

Geometry as extended XYZ:
```
7
Lattice="-0.664 2.571 -4.974 5.200 0.938 1.968 -0.718 -5.560 -0.601" Properties=species:S:1:pos:R:3 pbc="T T T"
Hf 2.600 0.469 0.984
Hf 1.909 -1.026 -1.803
Hf -0.332 1.285 -2.487
Hf -0.359 -2.780 -0.300
Re -0.691 -1.494 -2.787
Re 2.268 1.754 -1.503
Zn 0.000 0.000 0.000
```

Calculated values
**Uncorrected energy**: -9.529 eV/atom
**Size of the total moment**: 0.00 μB per cell

=====

No. 3
First-principles (GGA-PBE) data for a relaxed MnCu2W crystal, as listed in Alexandria via LeMat-Bulk.

Geometry as extended XYZ:
```
4
Lattice="-7.589 -2.301 -3.720 -5.902 -3.378 -5.520 -6.569 -4.758 -3.307" Properties=species:S:1:pos:R:3 pbc="T T T"
Cu -19.978 -10.394 -12.495
Cu -5.023 -2.613 -3.142
Mn -10.102 -5.256 -6.318
W -15.047 -7.829 -9.412
```

Calculated values
**Uncorrected energy**: -7.278 eV/atom
**Offset from the most stable computed form**: 0.083 eV/atom
**Size of the total moment**: 2.43 μB per cell

=====

No. 4
First-principles (GGA-PBE) data for a relaxed Ac4Cd5Ge6 crystal, as listed in Alexandria via LeMat-Bulk.

Geometry as extended XYZ:
```
30
Lattice="4.641 0.000 0.000 -2.320 10.326 0.000 0.000 0.000 16.786" Properties=species:S:1:pos:R:3 pbc="T T T"
Ge 0.000 9.203 14.352
Ge 0.000 4.748 12.879
Ge 0.000 2.332 1.969
Ge 0.000 8.863 2.183
Ge 2.320 1.464 10.576
Ge 0.000 8.965 6.789
Ge 2.320 1.362 15.182
Ge 2.320 5.738 16.502
Ge 2.320 5.578 4.486
Ge 0.000 4.589 8.109
Ge 2.320 7.995 10.362
Ge 2.320 1.124 5.959
Cd 0.000 7.059 4.578
Cd 0.000 3.194 10.514
Cd 2.320 4.147 2.077
Cd 2.320 7.132 2.121
Cd 2.320 3.267 12.970
Cd 2.320 1.283 2.974
Cd 0.000 7.258 16.462
Cd 0.000 9.043 11.367
Cd 0.000 6.180 10.470
Cd 2.320 3.068 8.069
Ac 2.320 6.908 13.472
Ac 0.000 3.648 15.895
Ac 0.000 0.706 12.838
Ac 0.000 3.418 5.079
Ac 2.320 9.620 4.445
Ac 2.320 6.678 7.502
Ac 0.000 0.336 8.449
Ac 2.320 9.991 0.056
```

Calculated values
**Uncorrected energy**: -3.750 eV/atom
**Size of the total moment**: 0.00 μB per cell

=====

No. 5
First-principles (GGA-PBE) data for a relaxed Sc4In3Tc crystal, as listed in Alexandria via LeMat-Bulk.

Geometry as extended XYZ:
```
8
Lattice="3.377 0.000 0.000 0.000 3.377 0.000 0.000 0.000 14.861" Properties=species:S:1:pos:R:3 pbc="T T T"
Sc 0.000 0.000 9.443
Sc 0.000 0.000 13.388
Sc 0.000 0.000 5.418
Sc 0.000 0.000 1.473
In 1.688 1.688 3.430
In 1.688 1.688 7.430
In 1.688 1.688 11.430
Tc 1.688 1.688 0.000
```

Calculated values
**Uncorrected energy**: -5.913 eV/atom
**Size of the total moment**: 0.27 μB per cell

=====

No. 6
First-principles (GGA-PBE) data for a relaxed K2InMoRu crystal, as listed in Alexandria via LeMat-Bulk.

Geometry as extended XYZ:
```
5
Lattice="6.474 0.000 0.000 0.000 5.045 0.000 0.000 0.000 6.474" Properties=species:S:1:pos:R:3 pbc="T T T"
Mo 3.237 2.523 3.237
K 3.237 0.000 0.000
K 0.000 0.000 3.237
In 0.000 0.000 0.000
Ru 0.000 2.523 0.000
```

Calculated values
**Uncorrected energy**: -3.279 eV/atom
**Size of the total moment**: 6.64 μB per cell

=====

No. 7
First-principles (GGA-PBE) data for a relaxed PrY4Ga4 crystal, as listed in Alexandria via LeMat-Bulk.

Geometry as extended XYZ:
```
18
Lattice="-2.844 -5.187 -0.432 1.725 -1.690 8.930 -7.932 4.156 2.319" Properties=species:S:1:pos:R:3 pbc="T T T"
Y -4.185 -2.016 1.329
Y -0.667 -2.722 6.072
Y -5.545 -1.942 9.384
Y -2.134 -0.328 8.266
Y -4.752 1.556 2.880
Y -8.032 -2.139 6.840
Y -7.706 1.239 4.847
Y -3.185 -4.531 3.647
Ga -8.839 -1.423 4.109
Ga -6.139 0.218 7.345
Ga -4.594 0.887 9.312
Ga -2.195 -1.631 3.581
Ga -6.463 -0.968 3.186
Ga -2.339 -5.177 6.384
Ga -3.306 -3.061 7.521
Ga -2.331 0.270 1.828
Pr -4.526 -1.360 5.408
Pr 0.000 0.000 0.000
```

Calculated values
**Uncorrected energy**: -5.134 eV/atom
**Size of the total moment**: 0.00 μB per cell

=====

No. 8
First-principles (GGA-PBE) data for a relaxed Ca3ZrTi crystal, as listed in Alexandria via LeMat-Bulk.

Geometry as extended XYZ:
```
5
Lattice="-0.908 -2.593 4.950 3.308 -4.290 -1.641 4.503 2.629 2.203" Properties=species:S:1:pos:R:3 pbc="T T T"
Ca 1.654 -2.145 -0.820
Ca -0.454 -1.296 2.475
Ca 2.251 1.315 1.102
Zr 0.000 0.000 0.000
Ti 3.452 -2.127 2.756
```

Calculated values
**Uncorrected energy**: -3.212 eV/atom
**Size of the total moment**: 1.42 μB per cell